(1)
A plane-wave DFT calculation with GGA-PBEsol was carried out for a geometry-optimized Y2MgSb structure.

Computed properties:
Its energy relative to the elements, uncorrected is -0.33 eV per atom. Its calculated volume is 26.929 Å³ per atom. For the total energy, the calculation gives -21.2 eV/cell. Its theoretical density is 4.99 Mg/m³.

Cell: 3.707 3.707 7.840 Å, 90.00 90.00 89.88°
Positions (direct):
Mg: 0.000 0.000 0.466
Sb: 0.500 0.500 0.278
Y: 0.000 0.000 0.029
Y: 0.500 0.500 0.726

(2)
A plane-wave DFT calculation with GGA-PBEsol was carried out for a geometry-optimized HgTe2P structure.

Computed properties:
Its energy relative to the elements, uncorrected is 0.15 eV per atom. Its calculated volume is 26.576 Å³ per atom. For the total energy, the calculation gives -12.8 eV/cell. Its theoretical density is 7.60 Mg/m³.

Cell: 3.642 3.642 9.491 Å, 78.94 78.94 60.00°
Positions (direct):
Hg: 0.500 0.500 0.500
P: 0.000 0.000 0.000
Te: 0.271 0.271 0.186
Te: 0.729 0.729 0.814

(3)
A plane-wave DFT calculation with GGA-PBEsol was carried out for a geometry-optimized InTc2Te structure.

Computed properties:
Its energy relative to the elements, uncorrected is 0.63 eV per atom. Its calculated volume is 17.310 Å³ per atom. For the total energy, the calculation gives -26.5 eV/cell. Its theoretical density is 10.51 Mg/m³.

Cell: 3.998 3.998 5.172 Å, 112.74 112.74 90.00°
Positions (direct):
In: 0.250 0.750 0.500
Tc: 0.000 0.000 0.000
Tc: 0.750 0.250 0.500
Te: 0.500 0.500 0.000

(4)
A plane-wave DFT calculation with GGA-PBEsol was carried out for a geometry-optimized Er3Al3Cr2O12 structure.

Computed properties:
Its energy relative to the elements, uncorrected is -3.04 eV per atom. Its calculated volume is 10.863 Å³ per atom. For the total energy, the calculation gives -685.5 eV/cell. Its theoretical density is 6.72 Mg/m³.

Cell: 10.412 10.412 10.412 Å, 109.47 109.47 109.47°
Positions (direct):
Er: 0.750 0.875 0.125
Er: 0.250 0.125 0.875
Er: 0.250 0.625 0.375
Er: 0.875 0.250 0.125
Er: 0.625 0.750 0.375
Er: 0.750 0.375 0.625
Er: 0.125 0.750 0.875
Er: 0.375 0.250 0.625
Er: 0.625 0.875 0.750
Er: 0.375 0.125 0.250
Er: 0.875 0.625 0.250
Er: 0.125 0.375 0.750
Al: 0.750 0.125 0.375
Al: 0.250 0.875 0.625
Al: 0.250 0.375 0.125
Al: 0.625 0.250 0.875
Al: 0.375 0.750 0.125
Al: 0.750 0.625 0.875
Al: 0.875 0.750 0.625
Al: 0.125 0.250 0.375
Al: 0.375 0.625 0.750
Al: 0.625 0.375 0.250
Al: 0.125 0.875 0.250
Al: 0.875 0.125 0.750
Cr: 0.000 0.000 0.000
Cr: 0.500 0.000 0.500
Cr: 0.000 0.500 0.500
Cr: 0.500 0.500 0.500
Cr: 0.500 0.500 0.000
Cr: 0.500 0.000 0.000
Cr: 0.000 0.500 0.000
Cr: 0.000 0.000 0.500
O: 0.526 0.818 0.903
O: 0.474 0.182 0.097
O: 0.414 0.623 0.597
O: 0.086 0.682 0.208
O: 0.708 0.086 0.182
O: 0.682 0.974 0.597
O: 0.586 0.377 0.403
O: 0.914 0.318 0.792
O: 0.292 0.914 0.818
O: 0.318 0.026 0.403
O: 0.974 0.877 0.292
O: 0.792 0.974 0.377
O: 0.877 0.086 0.903
O: 0.026 0.123 0.708
O: 0.208 0.026 0.623
O: 0.123 0.914 0.097
O: 0.403 0.526 0.318
O: 0.818 0.414 0.292
O: 0.597 0.474 0.682
O: 0.182 0.586 0.708
O: 0.097 0.414 0.123
O: 0.623 0.526 0.208
O: 0.903 0.586 0.877
O: 0.377 0.474 0.792
O: 0.623 0.097 0.914
O: 0.414 0.792 0.318
O: 0.377 0.903 0.086
O: 0.586 0.208 0.682
O: 0.877 0.792 0.474
O: 0.974 0.097 0.182
O: 0.123 0.208 0.526
O: 0.026 0.903 0.818
O: 0.682 0.708 0.586
O: 0.086 0.403 0.377
O: 0.318 0.292 0.414
O: 0.914 0.597 0.623
O: 0.818 0.403 0.026
O: 0.526 0.708 0.123
O: 0.182 0.597 0.974
O: 0.474 0.292 0.877
O: 0.708 0.623 0.026
O: 0.292 0.377 0.974
O: 0.792 0.818 0.914
O: 0.208 0.182 0.086
O: 0.097 0.682 0.474
O: 0.903 0.318 0.526
O: 0.403 0.877 0.586
O: 0.597 0.123 0.414

(5)
A plane-wave DFT calculation with GGA-PBEsol was carried out for a geometry-optimized BeGaSi2 structure.

Computed properties:
Its energy relative to the elements, uncorrected is 0.48 eV per atom. Its calculated volume is 14.069 Å³ per atom. For the total energy, the calculation gives -16.9 eV/cell. Its theoretical density is 3.98 Mg/m³.

Cell: 4.301 4.301 4.301 Å, 60.00 60.00 60.00°
Positions (direct):
Be: 0.000 0.000 0.000
Si: 0.250 0.250 0.250
Si: 0.750 0.750 0.750
Ga: 0.500 0.500 0.500

(6)
A plane-wave DFT calculation with GGA-PBEsol was carried out for a geometry-optimized MgIrRh2 structure.

Computed properties:
As for the calculated formation energy: -0.18 eV/atom. Its calculated volume is 14.052 Å³ per atom. For the total energy, the calculation gives -28.5 eV/cell. Its theoretical density is 12.48 Mg/m³.

Cell: 3.846 3.846 4.673 Å, 114.30 114.30 90.00°
Positions (direct):
Mg: 0.000 0.000 0.000
Ir: 0.500 0.500 0.000
Rh: 0.750 0.250 0.500
Rh: 0.250 0.750 0.500

(7)
A plane-wave DFT calculation with GGA-PBEsol was carried out for a geometry-optimized Hf3TaFe8 structure.

Computed properties:
As for the calculated formation energy: -0.31 eV/atom. Its calculated volume is 13.162 Å³ per atom. For the total energy, the calculation gives -119.5 eV/cell. Its theoretical density is 12.23 Mg/m³.

Cell: 4.814 4.814 7.871 Å, 90.00 90.00 120.00°
Positions (direct):
Hf: 0.333 0.667 0.561
Hf: 0.333 0.667 0.936
Hf: 0.000 0.000 0.066
Ta: 0.000 0.000 0.437
Fe: 0.667 0.333 0.500
Fe: 0.667 0.333 0.000
Fe: 0.499 0.501 0.253
Fe: 0.499 0.998 0.253
Fe: 0.002 0.501 0.253
Fe: 0.835 0.165 0.748
Fe: 0.835 0.670 0.748
Fe: 0.330 0.165 0.748

(8)
A plane-wave DFT calculation with GGA-PBEsol was carried out for a geometry-optimized YAuC2 structure.

Computed properties:
As for the calculated formation energy: 0.99 eV/atom. Its calculated volume is 15.267 Å³ per atom. For the total energy, the calculation gives -52.1 eV/cell. Its theoretical density is 8.43 Mg/m³.

Cell: 4.308 4.308 7.252 Å, 107.28 107.28 90.00°
Positions (direct):
Y: 0.750 0.250 0.500
Y: 0.500 0.500 0.000
C: 0.965 0.375 0.250
C: 0.285 0.875 0.250
C: 0.625 0.715 0.750
C: 0.125 0.035 0.750
Au: 0.250 0.750 0.500
Au: 0.000 0.000 0.000

(9)
A plane-wave DFT calculation with GGA-PBEsol was carried out for a geometry-optimized LiGa2Ag2 structure.

Computed properties:
As for the calculated formation energy: -0.14 eV/atom. Its calculated volume is 17.032 Å³ per atom. For the total energy, the calculation gives -31.9 eV/cell. Its theoretical density is 7.06 Mg/m³.

Cell: 2.897 7.668 7.668 Å, 90.00 90.00 90.00°
Positions (direct):
Ga: 0.000 0.379 0.879
Ga: 0.000 0.879 0.621
Ga: 0.000 0.621 0.121
Ga: 0.000 0.121 0.379
Ag: 0.500 0.181 0.681
Ag: 0.500 0.681 0.819
Ag: 0.500 0.819 0.319
Ag: 0.500 0.319 0.181
Li: 0.000 0.000 0.000
Li: 0.000 0.500 0.500

(10)
A plane-wave DFT calculation with GGA-PBEsol was carried out for a geometry-optimized Na8Ga2O7 structure.

Computed properties:
Its energy relative to the elements, uncorrected is -1.59 eV per atom. Its calculated volume is 13.273 Å³ per atom. For the total energy, the calculation gives -326.9 eV/cell. Its theoretical density is 3.20 Mg/m³.

Cell: 8.635 10.010 10.953 Å, 90.00 90.00 107.55°
Positions (direct):
Na: 0.501 0.628 0.269
Na: 0.340 0.018 0.004
Na: 0.660 0.482 0.504
Na: 0.660 0.982 0.996
Na: 0.340 0.518 0.496
Na: 0.881 0.077 0.475
Na: 0.119 0.423 0.975
Na: 0.119 0.923 0.525
Na: 0.107 0.033 0.240
Na: 0.893 0.467 0.740
Na: 0.893 0.967 0.760
Na: 0.107 0.533 0.260
Na: 0.257 0.211 0.446
Na: 0.743 0.289 0.946
Na: 0.743 0.789 0.554
Na: 0.257 0.711 0.054
Na: 0.084 0.144 0.961
Na: 0.916 0.356 0.461
Na: 0.916 0.856 0.039
Na: 0.084 0.644 0.539
Na: 0.569 0.143 0.472
Na: 0.431 0.357 0.972
Na: 0.431 0.857 0.528
Na: 0.569 0.643 0.028
Na: 0.287 0.070 0.749
Na: 0.713 0.430 0.249
Na: 0.713 0.930 0.251
Na: 0.287 0.570 0.751
Na: 0.501 0.128 0.231
Na: 0.499 0.372 0.731
Na: 0.499 0.872 0.769
Na: 0.881 0.577 0.025
Ga: 0.308 0.847 0.284
Ga: 0.692 0.653 0.784
Ga: 0.692 0.153 0.716
Ga: 0.308 0.347 0.216
Ga: 0.908 0.727 0.297
Ga: 0.092 0.773 0.797
Ga: 0.092 0.273 0.703
Ga: 0.908 0.227 0.203
O: 0.678 0.300 0.618
O: 0.103 0.622 0.889
O: 0.897 0.878 0.389
O: 0.897 0.378 0.111
O: 0.103 0.122 0.611
O: 0.672 0.497 0.884
O: 0.328 0.003 0.384
O: 0.894 0.567 0.389
O: 0.896 0.216 0.798
O: 0.104 0.284 0.298
O: 0.104 0.784 0.202
O: 0.896 0.716 0.702
O: 0.544 0.107 0.848
O: 0.456 0.393 0.348
O: 0.456 0.893 0.152
O: 0.544 0.607 0.652
O: 0.322 0.200 0.118
O: 0.672 0.997 0.616
O: 0.678 0.800 0.882
O: 0.322 0.700 0.382
O: 0.751 0.183 0.324
O: 0.249 0.317 0.824
O: 0.249 0.817 0.676
O: 0.751 0.683 0.176
O: 0.894 0.067 0.111
O: 0.106 0.433 0.611
O: 0.106 0.933 0.889
O: 0.328 0.503 0.116

(11)
A plane-wave DFT calculation with GGA-PBEsol was carried out for a geometry-optimized Cu5Se2Cl2O8 structure.

Computed properties:
Its energy relative to the elements, uncorrected is -0.62 eV per atom. Its calculated volume is 13.289 Å³ per atom. For the total energy, the calculation gives -171.8 eV/cell. Its theoretical density is 4.96 Mg/m³.

Cell: 5.579 6.028 13.489 Å, 90.00 90.00 95.17°
Positions (direct):
Cu: 0.509 0.743 0.002
Cu: 0.049 0.432 0.311
Cu: 0.951 0.568 0.689
Cu: 0.500 0.500 0.500
Cu: 0.549 0.432 0.189
Cu: 0.451 0.568 0.811
Cu: 0.009 0.743 0.498
Cu: 0.491 0.257 0.998
Cu: 0.000 0.500 0.000
Cu: 0.991 0.257 0.502
Se: 0.596 0.941 0.637
Se: 0.904 0.059 0.137
Se: 0.096 0.941 0.863
Se: 0.404 0.059 0.363
Cl: 0.236 0.327 0.676
Cl: 0.736 0.327 0.824
Cl: 0.764 0.673 0.324
Cl: 0.264 0.673 0.176
O: 0.424 0.773 0.556
O: 0.182 0.506 0.441
O: 0.630 0.022 0.073
O: 0.682 0.506 0.059
O: 0.313 0.247 0.275
O: 0.076 0.227 0.056
O: 0.576 0.227 0.444
O: 0.818 0.494 0.559
O: 0.870 0.978 0.573
O: 0.187 0.753 0.775
O: 0.687 0.753 0.725
O: 0.318 0.494 0.941
O: 0.813 0.247 0.225
O: 0.924 0.773 0.944
O: 0.130 0.022 0.427
O: 0.370 0.978 0.927

(12)
A plane-wave DFT calculation with GGA-PBEsol was carried out for a geometry-optimized AlReIrPb2 structure.

Computed properties:
As for the calculated formation energy: 1.40 eV/atom. Its calculated volume is 24.958 Å³ per atom. For the total energy, the calculation gives -28.2 eV/cell. Its theoretical density is 10.91 Mg/m³.

Cell: 4.696 5.155 5.155 Å, 90.00 90.00 90.00°
Positions (direct):
Pb: 0.000 0.000 0.500
Pb: 0.000 0.500 0.000
Re: 0.000 0.000 0.000
Ir: 0.500 0.500 0.500
Al: 0.500 0.000 0.000